[1]
The following is a SCAN calculation of a PBEsol-optimized structure of Tc2HgOs, from the Alexandria database.

abc: 3.8628 3.8628 4.8806
angles: 113.31 113.31 90.00
Fractional positions:
Tc 0.7500 0.2500 0.5000
Tc 0.0000 0.0000 0.0000
Os 0.2500 0.7500 0.5000
Hg 0.5000 0.5000 0.0000

Computed properties:
SG   I-4m2, No. 119
Theoretical density   16.1 Mg/m³
DFT formation energy   629 meV per atom

[2]
The following is a SCAN calculation of a PBEsol-optimized structure of Hg2TeOs, from the Alexandria database.

abc: 3.0425 4.3436 6.1004
angles: 90.00 90.00 90.00
Each line ends with the local moment (μB).
Fractional positions:
Hg 0.0000 0.0000 0.2229  -0.01
Hg 0.0000 0.0000 0.7771  -0.01
Te 0.5000 0.5000 0.5000  0.03
Os 0.5000 0.5000 0.0000  1.08

Computed properties:
SG   Pmmm, No. 47
Theoretical density   14.8 Mg/m³
E_form (uncorrected)   1.00 eV per atom